[1]
DFT (PBE) results for MgBrF2 after structural relaxation.

```
MgBrF2
1.0
1.5406 0.8895 9.3866
-1.5406 0.8895 9.3866
0.0000 -1.7790 9.3866
Mg Br F
1 1 2
Direct
0.0000 0.0000 0.0000
0.5000 0.5000 0.5000
0.3671 0.3671 0.3671
0.6329 0.6329 0.6329
```

Computed properties:
DOS at the Fermi energy = 0.302 states/eV/atom
energy relative to the lowest polymorph listed for this composition = 0.000 eV per atom
energy relative to the elements, uncorrected = -238 kJ per mole of atoms
space-group type = R-3m (166)

[2]
DFT (PBE) results for Mg2BrF2 after structural relaxation.

```
Mg2BrF2
1.0
-1.9062 1.9062 5.2656
1.9062 -1.9062 5.2656
1.9062 1.9062 -5.2656
Mg Br F
2 1 2
Direct
0.1474 0.1474 0.0000
0.8526 0.8526 0.0000
0.5000 0.5000 0.0000
0.2500 0.7500 0.5000
0.7500 0.2500 0.5000
```

Computed properties:
DOS at the Fermi energy = 0.205 states/eV/atom
energy relative to the elements, uncorrected = -215 kJ per mole of atoms
space-group type = I4/mmm (139)

| no. | V (Å³/f.u.) |
| --- | --- |
| 1 | 77.18 |
| 2 | 76.53 |